# Ca2MgAlZn6, optimized geometry, DFT PBE-GGA
data_Ca2MgAlZn6
_chemical_formula_sum 'Ca2 Mg1 Al1 Zn6'
_symmetry_space_group_name_H-M 'P -1'
_symmetry_Int_Tables_number 2
_symmetry_space_group_name_Hall '-P 1'
_cell_length_a 5.0686
_cell_length_b 6.8897
_cell_length_c 7.0348
_cell_angle_alpha 83.07
_cell_angle_beta 68.97
_cell_angle_gamma 68.72
loop_
_atom_site_label
_atom_site_type_symbol
_atom_site_fract_x
_atom_site_fract_y
_atom_site_fract_z
_atom_site_occupancy
Ca1 Ca 0.2431 0.2974 0.2170 1
Mg1 Mg 0.0000 0.0000 0.0000 1
Al1 Al 0.5000 0.5000 0.5000 1
Zn1 Zn 0.2445 0.7486 0.2594 1
Zn2 Zn 0.2513 0.9276 0.5690 1
Zn3 Zn 0.2543 0.2514 0.7416 1
# E (eV per atom): -1.820
# Energy relative to the elements (eV/atom): -0.12
# Crystal system: triclinic
# N(E_F) (states/eV/atom): 0.46

---

# TaSb2SeI, optimized geometry, DFT PBE-GGA
data_TaSb2SeI
_chemical_formula_sum 'Ta1 Sb2 Se1 I1'
_symmetry_space_group_name_H-M 'P 4/m m m'
_symmetry_Int_Tables_number 123
_symmetry_space_group_name_Hall '-P 4 2'
_cell_length_a 5.2919
_cell_length_b 5.2919
_cell_length_c 5.5440
_cell_angle_alpha 90.00
_cell_angle_beta 90.00
_cell_angle_gamma 90.00
loop_
_atom_site_label
_atom_site_type_symbol
_atom_site_fract_x
_atom_site_fract_y
_atom_site_fract_z
_atom_site_occupancy
Ta1 Ta 0.0000 0.0000 0.0000 1
Sb1 Sb 0.0000 0.5000 0.5000 1
Se1 Se 0.5000 0.5000 0.5000 1
I1 I 0.5000 0.5000 0.0000 1
# E (eV per atom): -3.655
# Distance to the lowest polymorph of the same formula (meV per atom): 851
# Crystal system: tetragonal
# N(E_F) (states/eV/atom): 1.23

---

# Sc3AgO, optimized geometry, DFT PBE-GGA
data_Sc3AgO
_chemical_formula_sum 'Sc12 Ag4 O4'
_symmetry_space_group_name_H-M 'C 1 2/m 1'
_symmetry_Int_Tables_number 12
_symmetry_space_group_name_Hall '-C 2y'
_cell_length_a 10.3495
_cell_length_b 4.4388
_cell_length_c 8.3930
_cell_angle_alpha 90.00
_cell_angle_beta 114.47
_cell_angle_gamma 90.00
loop_
_atom_site_label
_atom_site_type_symbol
_atom_site_fract_x
_atom_site_fract_y
_atom_site_fract_z
_atom_site_occupancy
Sc1 Sc 0.1124 0.0000 0.1915 1
Sc2 Sc 0.1395 0.0000 0.6694 1
Sc3 Sc 0.1390 0.5000 0.9340 1
Ag1 Ag 0.1196 0.5000 0.4360 1
O1 O 0.1192 0.0000 0.9253 1
# E (eV per atom): -6.609
# Distance to the lowest polymorph of the same formula (meV per atom): 119
# Crystal system: monoclinic
# N(E_F) (states/eV/atom): 0.91

---

# Hf3ZrS, optimized geometry, DFT PBE-GGA
data_Hf3ZrS
_chemical_formula_sum 'Hf6 Zr2 S2'
_symmetry_space_group_name_H-M 'P -1'
_symmetry_Int_Tables_number 2
_symmetry_space_group_name_Hall '-P 1'
_cell_length_a 6.6843
_cell_length_b 6.6894
_cell_length_c 6.6898
_cell_angle_alpha 117.98
_cell_angle_beta 119.88
_cell_angle_gamma 91.73
loop_
_atom_site_label
_atom_site_type_symbol
_atom_site_fract_x
_atom_site_fract_y
_atom_site_fract_z
_atom_site_occupancy
Hf1 Hf 0.2342 0.2339 0.9996 1
Hf2 Hf 0.2503 0.2248 0.4755 1
Hf3 Hf 0.2661 0.7662 0.5006 1
Zr1 Zr 0.2492 0.7807 0.0299 1
S1 S 0.0000 0.5000 0.5000 1
S2 S 0.5000 0.5000 0.0000 1
# E (eV per atom): -9.020
# Distance to the lowest polymorph of the same formula (meV per atom): 0
# Crystal system: triclinic
# N(E_F) (states/eV/atom): 0.64

---

# La2PrGa, optimized geometry, DFT PBE-GGA
data_La2PrGa
_chemical_formula_sum 'La2 Pr1 Ga1'
_symmetry_space_group_name_H-M 'P 4/m m m'
_symmetry_Int_Tables_number 123
_symmetry_space_group_name_Hall '-P 4 2'
_cell_length_a 4.8918
_cell_length_b 4.8918
_cell_length_c 4.9847
_cell_angle_alpha 90.00
_cell_angle_beta 90.00
_cell_angle_gamma 90.00
loop_
_atom_site_label
_atom_site_type_symbol
_atom_site_fract_x
_atom_site_fract_y
_atom_site_fract_z
_atom_site_occupancy
La1 La 0.0000 0.5000 0.0000 1
Pr1 Pr 0.0000 0.0000 0.5000 1
Ga1 Ga 0.5000 0.5000 0.5000 1
# E (eV per atom): -4.671
# Distance to the lowest polymorph of the same formula (meV per atom): 5
# Energy relative to the elements (eV/atom): -0.26
# Crystal system: tetragonal
# N(E_F) (states/eV/atom): 1.35

---

# NaZr3P, optimized geometry, DFT PBE-GGA
data_NaZr3P
_chemical_formula_sum 'Na1 Zr3 P1'
_symmetry_space_group_name_H-M 'P m -3 m'
_symmetry_Int_Tables_number 221
_symmetry_space_group_name_Hall '-P 4 2 3'
_cell_length_a 4.9882
_cell_length_b 4.9882
_cell_length_c 4.9882
_cell_angle_alpha 90.00
_cell_angle_beta 90.00
_cell_angle_gamma 90.00
loop_
_atom_site_label
_atom_site_type_symbol
_atom_site_fract_x
_atom_site_fract_y
_atom_site_fract_z
_atom_site_occupancy
Na1 Na 0.0000 0.0000 0.0000 1
Zr1 Zr 0.0000 0.5000 0.5000 1
P1 P 0.5000 0.5000 0.5000 1
# E (eV per atom): -6.542
# Distance to the lowest polymorph of the same formula (meV per atom): 0
# Energy relative to the elements (eV/atom): -0.07
# Crystal system: cubic
# N(E_F) (states/eV/atom): 0.85